Computed, not measured: crystalline Cr5Br3 at its relaxed geometry at the PBE level of DFT.

Its total magnetic moment is 26.50 μB per cell. As for the raw formation energy: 0.655 eV/atom.

The structure belongs to space group Cmmm (No. 65); the cell edges are 6.697, 8.710 and 5.639 Å and the angles 90.00°, 90.00° and 90.00°. Symmetry generates all atoms from Cr at (0.000, 0.000, 0.000), Cr at (0.212, 0.000, 0.500), Cr at (0.250, 0.250, 0.000), Br at (0.000, 0.282, 0.500) and Br at (0.000, 0.500, 0.000).